# 1
{
  "formula": "Y2MnAl2Ni5",
  "functional": "PBE",
  "state": "relaxed",
  "density_g_cm3": 6.242,
  "vol_a3_per_atom": 15.43,
  "ef_mev_per_atom": -289,
  "cell": [[9.766, 0.000, 0.000], [0.000, 9.766, 0.000], [0.000, 0.000, 3.237]],
  "species": ["Y", "Y", "Y", "Y", "Mn", "Mn", "Al", "Al", "Al", "Al", "Ni", "Ni", "Ni", "Ni", "Ni", "Ni", "Ni", "Ni", "Ni", "Ni"],
  "frac_coords": [[0.175, 0.325, 0.000], [0.325, 0.825, 0.000], [0.675, 0.175, 0.000], [0.825, 0.675, 0.000], [0.000, 0.000, 0.000], [0.500, 0.500, 0.000], [0.124, 0.624, 0.000], [0.376, 0.124, 0.000], [0.624, 0.876, 0.000], [0.876, 0.376, 0.000], [0.000, 0.500, 0.500], [0.055, 0.803, 0.500], [0.197, 0.055, 0.500], [0.303, 0.555, 0.500], [0.445, 0.303, 0.500], [0.500, 0.000, 0.500], [0.555, 0.697, 0.500], [0.697, 0.445, 0.500], [0.803, 0.945, 0.500], [0.945, 0.197, 0.500]]
}

# 2
{
  "formula": "LiErTiGa",
  "functional": "PBE",
  "state": "relaxed",
  "density_g_cm3": 6.387,
  "vol_a3_per_atom": 18.97,
  "ef_mev_per_atom": -143,
  "cell": [[0.000, 3.360, 3.360], [3.360, 0.000, 3.360], [3.360, 3.360, 0.000]],
  "species": ["Li", "Er", "Ti", "Ga"],
  "frac_coords": [[0.000, 0.000, 0.000], [0.750, 0.750, 0.750], [0.250, 0.250, 0.250], [0.500, 0.500, 0.500]]
}

# 3
{
  "formula": "Pr3PbO3",
  "functional": "PBE",
  "state": "relaxed",
  "density_g_cm3": 6.674,
  "e_form_raw_kj_per_mol_fu": -1639,
  "vol_a3_per_atom": 24.10,
  "cell": [[3.459, 1.997, 8.139], [-3.459, 1.997, 8.139], [0.000, -3.994, 8.139]],
  "species": ["Pr", "Pr", "Pr", "Pr", "Pr", "Pr", "Pb", "Pb", "O", "O", "O", "O", "O", "O"],
  "frac_coords": [[0.049, 0.398, 0.741], [0.259, 0.951, 0.602], [0.398, 0.741, 0.049], [0.602, 0.259, 0.951], [0.741, 0.049, 0.398], [0.951, 0.602, 0.259], [0.167, 0.167, 0.167], [0.833, 0.833, 0.833], [0.049, 0.698, 0.367], [0.302, 0.633, 0.951], [0.367, 0.049, 0.698], [0.633, 0.951, 0.302], [0.698, 0.367, 0.049], [0.951, 0.302, 0.633]]
}

# 4
{
  "formula": "GdNpIrRh",
  "functional": "PBE",
  "state": "relaxed",
  "density_g_cm3": 14.124,
  "vol_a3_per_atom": 20.26,
  "ef_mev_per_atom": -481,
  "cell": [[0.000, 3.435, 3.435], [3.435, 0.000, 3.435], [3.435, 3.435, 0.000]],
  "species": ["Gd", "Np", "Ir", "Rh"],
  "frac_coords": [[0.000, 0.000, 0.000], [0.500, 0.500, 0.500], [0.250, 0.250, 0.250], [0.750, 0.750, 0.750]]
}